1.
A plane-wave DFT calculation with GGA-PBE was carried out for crystalline Ga2WCl at its relaxed geometry.

The volume is 71.9 Å³/f.u. The energy above the most stable polymorph in this dataset comes out at 303 meV/atom.

It has space group Fm-3m (No. 225), with a = 6.600 Å, b = 6.600 Å, c = 6.600 Å, α = 90.00°, β = 90.00° and γ = 90.00°. The inequivalent atoms are Ga at (0.250, 0.250, 0.250), W at (0.000, 0.000, 0.000) and Cl at (0.000, 0.000, 0.500).

---

2.
A plane-wave DFT calculation with GGA-PBE was carried out for crystalline GaW2Cl at its relaxed geometry.

The volume is 61.1 Å³/f.u. The energy above the most stable polymorph in this dataset comes out at 43 meV/atom.

It has space group Fm-3m (No. 225), with a = 6.251 Å, b = 6.251 Å, c = 6.251 Å, α = 90.00°, β = 90.00° and γ = 90.00°. The inequivalent atoms are Ga at (0.000, 0.000, 0.000), W at (0.250, 0.250, 0.250) and Cl at (0.000, 0.000, 0.500).

---

3.
A plane-wave DFT calculation with GGA-PBE was carried out for crystalline YGa2Cl8 at its relaxed geometry.

The volume is 377.6 Å³/f.u. The uncorrected energy is -3.846 eV per atom.

It has space group C2/m (No. 12), with a = 13.525 Å, b = 8.594 Å, c = 6.561 Å, α = 90.00°, β = 97.93° and γ = 90.00°. The inequivalent atoms are Y at (0.000, 0.000, 0.000), Ga at (0.185, 0.000, 0.644), Cl at (0.093, 0.198, 0.775), Cl at (0.156, 0.500, 0.242) and Cl at (0.165, 0.000, 0.280).